No. 1
Below is an optimized crystal structure of CeGdEr, with properties calculated at the PBE level.

As for the density of states at the Fermi level: 6.548 states/eV/cell. The value obtained for the volume is 30.58 Å³ per atom. For the formation energy, the calculation gives 0.06 eV per atom.

Lattice parameters (Å, degrees): 3.513 3.513 8.583 90.00 90.00 120.00
Fractional positions:
Ce (0.000, 0.000, 0.000)
Gd (0.667, 0.333, 0.329)
Er (0.333, 0.667, 0.673)

***

No. 2
Below is an optimized crystal structure of CeGdEr2, with properties calculated at the PBE level.

As for the density of states at the Fermi level: 9.503 states/eV/cell. The value obtained for the volume is 31.53 Å³ per atom. For the formation energy, the calculation gives 0.15 eV per atom.

Lattice parameters (Å, degrees): 5.629 5.629 5.629 60.00 60.00 60.00
Fractional positions:
Ce (0.000, 0.000, 0.000)
Gd (0.500, 0.500, 0.500)
Er (0.250, 0.250, 0.250)
Er (0.750, 0.750, 0.750)

***

Please write out number 1 again, unchanged.
Below is an optimized crystal structure of CeGdEr, with properties calculated at the PBE level.

As for the density of states at the Fermi level: 6.548 states/eV/cell. The value obtained for the volume is 30.58 Å³ per atom. For the formation energy, the calculation gives 0.06 eV per atom.

Lattice parameters (Å, degrees): 3.513 3.513 8.583 90.00 90.00 120.00
Fractional positions:
Ce (0.000, 0.000, 0.000)
Gd (0.667, 0.333, 0.329)
Er (0.333, 0.667, 0.673)

***

Please write out number 1 again, unchanged.
Below is an optimized crystal structure of CeGdEr, with properties calculated at the PBE level.

As for the density of states at the Fermi level: 6.548 states/eV/cell. The value obtained for the volume is 30.58 Å³ per atom. For the formation energy, the calculation gives 0.06 eV per atom.

Lattice parameters (Å, degrees): 3.513 3.513 8.583 90.00 90.00 120.00
Fractional positions:
Ce (0.000, 0.000, 0.000)
Gd (0.667, 0.333, 0.329)
Er (0.333, 0.667, 0.673)

***

Which of these has the highest volume?
CeGdEr2